# HoTiV4, relaxed, DFT GGA-PBE
data_HoTiV4
_chemical_formula_sum 'Ho4 Ti4 V16'
_space_group_name_H-M_alt 'F -4 3 m'
_space_group_IT_number 216
_space_group_name_Hall 'F -4 2 3'
_cell_length_a 7.337
_cell_length_b 7.337
_cell_length_c 7.337
_cell_angle_alpha 90.00
_cell_angle_beta 90.00
_cell_angle_gamma 90.00
loop_
_atom_site_label
_atom_site_type_symbol
_atom_site_fract_x
_atom_site_fract_y
_atom_site_fract_z
Ho1 Ho 0.000 0.000 0.000
Ti1 Ti 0.250 0.250 0.750
V1 V 0.125 0.125 0.375
# * DOS(E_F): 14.011 states/eV/f.u.
# * formation enthalpy at 0 K: 1.6 eV/f.u.
# * magnetic moment: 0.000 μB per atom